# InHgMo2 meta-GGA SCAN PBEsol geometry
# - Polymorph energy (0 for the lowest one): 0.72 eV per formula unit
# - Crystal system: monoclinic
# - Calculated volume: 17.6 Å³/atom
# - Spin magnetization: 0.0 μB/f.u.
# - Energy: -169.28 eV for the cell shown
# - Formation energy: 0.5098 eV per atom
data_InHgMo2
_chemical_formula_sum 'In1 Hg1 Mo2'
_cell_length_a 2.822
_cell_length_b 4.621
_cell_length_c 5.562
_cell_angle_alpha 90.00
_cell_angle_beta 103.57
_cell_angle_gamma 90.00
_space_group_name_H-M_alt 'P 1 2/m 1'
_space_group_IT_number 10
_space_group_name_Hall '-P 2y'
loop_
_atom_site_label
_atom_site_fract_x
_atom_site_fract_y
_atom_site_fract_z
In1 0.000 0.000 0.000
Hg1 0.500 0.000 0.500
Mo1 0.277 0.500 0.769

# InHgMo2 meta-GGA SCAN PBEsol geometry
# - Polymorph energy (0 for the lowest one): 0.00 eV per formula unit
# - Crystal system: trigonal
# - Calculated volume: 19.1 Å³/atom
# - Spin magnetization: 0.0 μB/f.u.
# - Energy: -510.02 eV for the cell shown
# - Formation energy: 0.3292 eV per atom
data_InHgMo2
_chemical_formula_sum 'In3 Hg3 Mo6'
_cell_length_a 3.1025
_cell_length_b 3.1025
_cell_length_c 27.5468
_cell_angle_alpha 90.00
_cell_angle_beta 90.00
_cell_angle_gamma 120.00
_space_group_name_H-M_alt 'R 3 m'
_space_group_IT_number 160
_space_group_name_Hall 'R 3 -2"'
loop_
_atom_site_label
_atom_site_fract_x
_atom_site_fract_y
_atom_site_fract_z
In1 0.0000 0.0000 0.0000
Hg1 0.0000 0.0000 0.7618
Mo1 0.0000 0.0000 0.2450
Mo2 0.0000 0.0000 0.5164